1.
! Co2CuN | Alexandria via LeMat-Bulk | PBE-GGA | relaxed; values from VASP
! Magnetization in Bohr magnetons per cell: 0.00
! Electronic total energy in eV per atom: -6.288
! ρ in Mg/m³: 7.27
! Uncorrected formation energy in eV/atom: 0.370
! DOS at the Fermi energy in states/eV/cell: 3.1
&SYSTEM
  ibrav = 0, nat = 4, ntyp = 3
/
ATOMIC_SPECIES
N 14.01 N.upf
Co 58.93 Co.upf
Cu 63.55 Cu.upf
ATOMIC_POSITIONS crystal
N 0.500 0.500 0.500
Co 0.117 0.117 0.648
Cu 0.000 0.000 0.000
Co 0.883 0.883 0.352
CELL_PARAMETERS angstrom
-1.135 -2.458 -0.456
1.096 -1.694 -1.861
3.972 -4.121 4.064

2.
! CoCu3N | Alexandria via LeMat-Bulk | PBE-GGA | relaxed; values from VASP
! Magnetization in Bohr magnetons per cell: 1.83
! Electronic total energy in eV per atom: -3.483
! Energy above the lowest structure with this stoichiometry in meV/atom: 1566
! ρ in Mg/m³: 5.41
! Uncorrected formation energy in eV/atom: 2.061
! DOS at the Fermi energy in states/eV/cell: 5.7
&SYSTEM
  ibrav = 0, nat = 5, ntyp = 3
/
ATOMIC_SPECIES
N 14.01 N.upf
Co 58.93 Co.upf
Cu 63.55 Cu.upf
ATOMIC_POSITIONS crystal
N 0.500 0.500 0.500
Co 0.000 0.000 0.000
Cu 0.000 0.500 0.000
Cu 0.500 0.000 0.000
Cu 0.000 0.000 0.500
CELL_PARAMETERS angstrom
4.326 0.000 0.000
0.000 4.326 0.000
0.000 0.000 4.326